A plane-wave DFT calculation with GGA+U was carried out for a geometry-optimized BaPuV2O8 structure.

total magnetization = 4.00 μB/f.u.
space group = P-3
uncorrected energy = -8.34 eV/atom

Cell lengths 5.789, 5.789, 7.577 Å; angles 90.00, 90.00, 120.00 degrees
Fractional coordinates of all 12 atoms:
Ba1 0.000 0.000 0.000
Pu1 0.000 0.000 0.500
V1 0.333 0.667 0.762
V2 0.667 0.333 0.238
O1 0.161 0.332 0.690
O2 0.171 0.839 0.690
O3 0.332 0.171 0.310
O4 0.333 0.667 0.983
O5 0.667 0.333 0.017
O6 0.668 0.829 0.690
O7 0.829 0.161 0.310
O8 0.839 0.668 0.310